1.
Material: Pm2Sm2GeRh4
Method: DFT, PBE
State: optimized geometry

Unit cell a=6.508 b=6.508 c=6.508 alpha=93.15 beta=118.20 gamma=118.20
Element x y z (fractional)
Pm 0.500 0.750 0.250
Pm 0.500 0.250 0.750
Sm 0.000 0.683 0.683
Sm 0.000 0.317 0.317
Ge 0.000 0.000 0.000
Rh 0.000 0.744 0.256
Rh 0.489 0.744 0.744
Rh 0.000 0.256 0.744
Rh 0.511 0.256 0.256

Output
As for the symmetry: I4/mmm (139). As for the formation energy: -0.45 eV/atom.

---

2.
Material: PmSnGeRh2
Method: DFT, PBE
State: optimized geometry

Unit cell a=4.344 b=4.344 c=6.483 alpha=90.00 beta=90.00 gamma=90.00
Element x y z (fractional)
Pm 0.000 0.000 0.524
Sn 0.500 0.500 0.646
Ge 0.000 0.000 0.063
Rh 0.000 0.500 0.883
Rh 0.500 0.000 0.883

Output
As for the symmetry: P4mm (99). As for the formation energy: -0.44 eV/atom.

---

3.
Material: PmSnGe2Rh5
Method: DFT, PBE
State: optimized geometry

Unit cell a=4.107 b=4.107 c=10.646 alpha=90.00 beta=90.00 gamma=90.00
Element x y z (fractional)
Pm 0.000 0.000 0.500
Sn 0.000 0.000 0.000
Ge 0.500 0.500 0.277
Ge 0.500 0.500 0.723
Rh 0.000 0.500 0.158
Rh 0.500 0.000 0.158
Rh 0.000 0.500 0.842
Rh 0.500 0.000 0.842
Rh 0.500 0.500 0.500

Output
As for the symmetry: P4/mmm (123). As for the formation energy: -0.42 eV/atom.